Material: LiY2Mn
Method: DFT, PBE
State: relaxed

## Properties
The calculation puts the electronic total energy at -5.854 eV/atom. The value obtained for the calculated formation energy is 0.149 eV/atom. The total moment is 3.42 μB/cell.

Cell: 5.1065 5.1065 3.6179 Å, 90.00 90.00 90.00°
With the nearest neighbours (Å) after each atom.
Space group P4/mmm (No. 123)
Symmetry-distinct sites (fractional):
Li (0.0000, 0.0000, 0.0000)  8 Y 3.13
Y (0.0000, 0.5000, 0.5000)  4 Mn 3.13, 4 Li 3.13
Mn (0.5000, 0.5000, 0.0000)  8 Y 3.13